(1)
Density functional theory data (SCAN) for ZnNiAu at its PBEsol-relaxed geometry.

```
3
Lattice="-1.395 1.684 4.300 1.395 -1.684 4.300 1.395 1.684 -4.300" Properties=species:S:1:pos:R:3 pbc="T T T"
Zn 0.000 0.000 0.000
Ni 0.000 0.000 3.105
Au 0.000 0.000 5.865
```

Formation enthalpy at 0 K: -36 kJ/mol of formula units
Crystal system: orthorhombic
Raw total energy: -33.07 eV/atom
D(E_F): 0.40 states/eV/atom
Offset from the most stable computed form: 0.000 eV per atom

***

(2)
Density functional theory data (SCAN) for ZnNi2Au at its PBEsol-relaxed geometry.

```
4
Lattice="-1.867 1.867 3.619 1.867 -1.867 3.619 1.867 1.867 -3.619" Properties=species:S:1:pos:R:3 pbc="T T T"
Zn 0.000 0.000 0.000
Ni 1.867 0.000 1.810
Ni 0.000 0.000 3.619
Au 0.000 1.867 1.810
```

Formation enthalpy at 0 K: -33 kJ/mol of formula units
Crystal system: tetragonal
Raw total energy: -28.84 eV/atom
D(E_F): 1.26 states/eV/atom

***

(3)
Density functional theory data (SCAN) for ZnNiAu at its PBEsol-relaxed geometry.

```
3
Lattice="-1.394 1.394 5.201 1.394 -1.394 5.201 1.394 1.394 -5.201" Properties=species:S:1:pos:R:3 pbc="T T T"
Zn 0.000 0.000 0.000
Ni 0.000 0.000 3.721
Au 0.000 0.000 7.112
```

Formation enthalpy at 0 K: -35 kJ/mol of formula units
Crystal system: tetragonal
Raw total energy: -33.07 eV/atom
D(E_F): 0.35 states/eV/atom
Offset from the most stable computed form: 0.003 eV per atom

***

Q: Number 1 is which compound?
A: ZnNiAu